GGA-PBE YSiAg, relaxed; formation energy from raw total energies = -1.82 eV per formula unit; volume = 20.19 Å³ per atom; size of the total moment = 0.00 μB/f.u.
1.0
-6.301 3.202 -0.007
0.521 -6.780 -1.930
-0.605 -1.181 3.986
Y Si Ag
3 3 3
Cartesian
-2.933 0.747 1.990
-6.386 -0.219 1.180
-3.669 -2.674 0.865
-1.753 -3.452 -1.289
-4.027 -0.125 -0.648
-0.302 -0.590 1.993
-4.727 2.402 -0.005
0.391 -5.086 -1.447
-1.444 -0.894 -0.484